[1]
## LiTb3Hg2 (PBE)

Data for an optimized crystal structure of LiTb3Hg2.

Results
**Symmetry**: P-3m1
**Spin magnetization**: 0.00 μB per formula unit
**DFT formation energy**: -312 meV/atom
**DFT total energy**: -3.047 eV per atom
**E above lowest polymorph**: 2 kJ/mol of formula units
**Fermi-level density of states**: 1.01 states/eV per atom

a = 5.250 Å, b = 5.250 Å, c = 12.938 Å
α = 90.00°, β = 90.00°, γ = 120.00°
Element x y z (fractional)
Tb  0.333  0.667  0.420
Tb  0.667  0.333  0.580
Tb  0.667  0.333  0.081
Tb  0.000  0.000  0.248
Tb  0.333  0.667  0.919
Tb  0.000  0.000  0.752
Hg  0.000  0.000  0.500
Hg  0.333  0.667  0.183
Hg  0.000  0.000  0.000
Hg  0.667  0.333  0.817
Li  0.667  0.333  0.328
Li  0.333  0.667  0.672

---

[2]
## Li12TbHg6 (PBE)

Data for an optimized crystal structure of Li12TbHg6.

Results
**Symmetry**: R-3
**Spin magnetization**: 0.00 μB per formula unit
**DFT formation energy**: -237 meV/atom
**DFT total energy**: -1.785 eV per atom
**Fermi-level density of states**: 0.40 states/eV per atom

a = 7.299 Å, b = 7.299 Å, c = 7.299 Å
α = 88.55°, β = 88.55°, γ = 88.55°
Element x y z (fractional)
Li  0.602  0.837  0.952
Li  0.048  0.398  0.163
Li  0.477  0.187  0.596
Li  0.813  0.404  0.523
Li  0.952  0.602  0.837
Li  0.404  0.523  0.813
Li  0.187  0.596  0.477
Li  0.398  0.163  0.048
Li  0.837  0.952  0.602
Li  0.163  0.048  0.398
Li  0.523  0.813  0.404
Li  0.596  0.477  0.187
Hg  0.288  0.716  0.126
Hg  0.874  0.712  0.284
Hg  0.284  0.874  0.712
Hg  0.712  0.284  0.874
Hg  0.716  0.126  0.288
Hg  0.126  0.288  0.716
Tb  0.000  0.000  0.000

---

> Number 2 is which compound?

Li12TbHg6

---

> Among the records above, which one has the highest Fermi-level density of states?

LiTb3Hg2

---

> Which formula does entry 1 have?

LiTb3Hg2

---

> Among the records above, which one has the highest DFT formation energy?

Li12TbHg6